VASP calculation (PBE-GGA) on a relaxed Ac2Ag3Ge crystal.

a = 4.0863 Å, b = 4.6843 Å, c = 8.4400 Å
α = 90.00°, β = 90.00°, γ = 90.00°
With the nearest neighbours (Å) after each atom.
Sites, in units of the cell vectors:
Ac1 0.0000 0.0000 0.4908  8 Ag 3.38-3.58, 4 Ge 3.38
Ac2 0.0000 0.5000 0.0071  10 Ag 3.41-3.59, 2 Ge 3.43
Ag1 0.5000 0.5000 0.6580  1 Ge 2.74, 2 Ag 2.79
Ag2 0.5000 0.0000 0.1721  2 Ge 2.71, 1 Ag 2.81
Ag3 0.5000 0.0000 0.8387  3 Ag 2.79-2.81
Ge1 0.5000 0.5000 0.3332  3 Ag 2.71-2.74

Summary:
Total energy = -3.97 eV per atom
Offset from the most stable computed form = 11.3 meV per atom
Symmetry = Pmm2 (25)
DFT formation energy = -2.4 eV/f.u.
Mass density = 8.7 g/cm3